Y2WO (GGA+U, relaxed); E = -7.0422 eV per atom; D(E_F) = 0.13 states/eV per atom; spin magnetization = 1.002 μB per atom
1.0
-3.4332 3.4332 4.0991
3.4332 -3.4332 4.0991
3.4332 3.4332 -4.0991
Y W O
4 2 2
Cartesian
1.7166 0.9478 -1.0248
2.4853 -1.7166 5.1239
1.7166 2.4853 3.0743
0.9478 5.1498 1.0248
3.4332 0.0000 2.0495
0.0000 0.0000 4.0991
0.0000 0.0000 0.0000
0.0000 3.4332 2.0495